(1)
Here is CsSbPd after structural relaxation from OQMD via LeMat-Bulk. Energies are from GGA-PBE.

a b c (Å): 7.7758 7.7758 7.7758
angles (deg): 90.00 90.00 90.00
Last column: nearest neighbours and their distance in Å.
Space group F-43m (No. 216)
Symmetry-distinct sites (fractional):
Cs: 0.0000 0.0000 0.0000 [4 per cell]  4 Pd 3.37, 4 Sb 3.37
Sb: 0.2500 0.2500 0.2500 [4 per cell]  4 Cs 3.37
Pd: 0.2500 0.2500 0.7500 [4 per cell]  4 Cs 3.37

(2)
Here is CsSbPdSe3 after structural relaxation from OQMD via LeMat-Bulk. Energies are from GGA-PBE.

a b c (Å): 9.4348 4.2323 10.2214
angles (deg): 90.00 111.15 90.00
Last column: nearest neighbours and their distance in Å.
Space group P2_1/m (No. 11)
Symmetry-distinct sites (fractional):
Cs: 0.2095 0.2500 0.2580 [2 per cell]  7 Se 3.65-3.80, 1 Pd 4.03
Sb: 0.3287 0.7500 0.8686 [2 per cell]  6 Se 2.70-2.95
Pd: 0.0707 0.2500 0.5873 [2 per cell]  4 Se 2.47-2.70
Se: 0.1287 0.2500 0.8656 [2 per cell]  1 Pd 2.70, 2 Sb 2.83
Se: 0.2025 0.7500 0.5594 [2 per cell]  3 Pd 2.47-2.52
Se: 0.4652 0.7500 0.1505 [2 per cell]  3 Sb 2.70-2.93

(3)
Here is CsSbTe3Pd after structural relaxation from OQMD via LeMat-Bulk. Energies are from GGA-PBE.

a b c (Å): 10.1271 4.4945 10.6358
angles (deg): 90.00 111.63 90.00
Last column: nearest neighbours and their distance in Å.
Space group P2_1/m (No. 11)
Symmetry-distinct sites (fractional):
Cs: 0.2116 0.2500 0.2558 [2 per cell]  7 Te 3.86-3.97, 1 Pd 4.23
Sb: 0.3275 0.7500 0.8689 [2 per cell]  6 Te 2.93-3.11
Te: 0.1216 0.2500 0.8597 [2 per cell]  1 Pd 2.78, 2 Sb 3.04
Te: 0.2014 0.7500 0.5554 [2 per cell]  3 Pd 2.62-2.68
Te: 0.4746 0.7500 0.1634 [2 per cell]  3 Sb 2.93-3.11
Pd: 0.0724 0.2500 0.5847 [2 per cell]  4 Te 2.62-2.78, 2 Pd 2.92

(4)
Here is CsScPd after structural relaxation from OQMD via LeMat-Bulk. Energies are from GGA-PBE.

a b c (Å): 7.2489 7.2489 7.2489
angles (deg): 90.00 90.00 90.00
Last column: nearest neighbours and their distance in Å.
Space group F-43m (No. 216)
Symmetry-distinct sites (fractional):
Cs: 0.0000 0.0000 0.0000 [4 per cell]  4 Pd 3.14
Sc: 0.0000 0.0000 0.5000 [4 per cell]  4 Pd 3.14
Pd: 0.2500 0.2500 0.2500 [4 per cell]  4 Sc 3.14, 4 Cs 3.14

Calculated values
total moment = 0.00 μB/cell

(5)
Here is CsScPd after structural relaxation from OQMD via LeMat-Bulk. Energies are from GGA-PBE.

a b c (Å): 6.9529 6.9529 6.9529
angles (deg): 90.00 90.00 90.00
Last column: nearest neighbours and their distance in Å.
Space group F-43m (No. 216)
Symmetry-distinct sites (fractional):
Cs: 0.0000 0.0000 0.0000 [4 per cell]  4 Sc 3.01, 4 Pd 3.01
Sc: 0.2500 0.2500 0.2500 [4 per cell]  4 Cs 3.01
Pd: 0.2500 0.2500 0.7500 [4 per cell]  4 Cs 3.01

Calculated values
total moment = 0.08 μB/cell

(6)
Here is CsScPdSe3 after structural relaxation from OQMD via LeMat-Bulk. Energies are from GGA-PBE.

a b c (Å): 3.9874 16.7738 9.9284
angles (deg): 90.00 90.00 90.00
Last column: nearest neighbours and their distance in Å.
Space group Cmcm (No. 63)
Symmetry-distinct sites (fractional):
Cs: 0.0000 0.2457 0.2500 [4 per cell]  8 Se 3.61-3.86, 2 Cs 3.99
Sc: 0.0000 0.0000 0.0000 [4 per cell]  6 Se 2.76-2.78
Pd: 0.0000 0.4817 0.7500 [4 per cell]  4 Se 2.49-2.53
Se: 0.0000 0.0745 0.7500 [4 per cell]  2 Pd 2.53, 2 Sc 2.78
Se: 0.0000 0.3904 0.5523 [8 per cell]  1 Pd 2.49, 2 Sc 2.76

Calculated values
total moment = 0.01 μB/cell

(7)
Here is CsScPdSe3 after structural relaxation from OQMD via LeMat-Bulk. Energies are from GGA-PBE.

a b c (Å): 9.3058 4.0278 10.1247
angles (deg): 90.00 114.07 90.00
Last column: nearest neighbours and their distance in Å.
Space group P2_1/m (No. 11)
Symmetry-distinct sites (fractional):
Cs: 0.2217 0.2500 0.2502 [2 per cell]  7 Se 3.55-3.75
Sc: 0.3289 0.7500 0.8636 [2 per cell]  6 Se 2.66-2.78
Pd: 0.0842 0.2500 0.5918 [2 per cell]  4 Se 2.48-2.66, 2 Pd 2.76
Se: 0.1302 0.2500 0.8613 [2 per cell]  1 Pd 2.58, 2 Sc 2.73
Se: 0.2249 0.7500 0.5638 [2 per cell]  3 Pd 2.48-2.66
Se: 0.4758 0.7500 0.1512 [2 per cell]  3 Sc 2.66-2.76

Calculated values
total moment = 0.00 μB/cell

(8)
Here is Cs2PdSe8 after structural relaxation from OQMD via LeMat-Bulk. Energies are from GGA-PBE.

a b c (Å): 15.2939 15.2939 13.2942
angles (deg): 90.00 90.00 90.00
Last column: nearest neighbours and their distance in Å.
Space group I4_1/acd (No. 142, origin choice 2)
Symmetry-distinct sites (fractional):
Cs: 0.1159 0.1341 0.1250 [16 per cell]  8 Se 3.70-3.96
Pd: 0.0000 0.2500 0.3750 [8 per cell]  4 Se 2.47
Se: 0.0296 0.0916 0.3835 [32 per cell]  1 Se 2.38, 1 Pd 2.47
Se: 0.0944 0.0058 0.8405 [32 per cell]  2 Se 2.38-2.41

(9)
Here is CsSmPdSe3 after structural relaxation from OQMD via LeMat-Bulk. Energies are from GGA-PBE.

a b c (Å): 4.3410 17.3647 10.0167
angles (deg): 90.00 90.00 90.00
Last column: nearest neighbours and their distance in Å.
Space group Cmcm (No. 63)
Symmetry-distinct sites (fractional):
Cs: 0.0000 0.2472 0.2500 [4 per cell]  6 Se 3.59-3.69
Sm: 0.0000 0.0000 0.0000 [4 per cell]  6 Se 2.93-2.95
Pd: 0.0000 0.4983 0.2500 [4 per cell]  4 Se 2.49-2.64
Se: 0.0000 0.0880 0.7500 [4 per cell]  2 Pd 2.64, 2 Sm 2.93
Se: 0.0000 0.3953 0.5835 [8 per cell]  1 Pd 2.49

Calculated values
total moment = 0.01 μB/cell

(10)
Here is CsSmPdSe3 after structural relaxation from OQMD via LeMat-Bulk. Energies are from GGA-PBE.

a b c (Å): 4.2583 15.7409 11.2304
angles (deg): 90.00 90.00 90.00
Last column: nearest neighbours and their distance in Å.
Space group Cmcm (No. 63)
Symmetry-distinct sites (fractional):
Cs: 0.0000 0.2432 0.2500 [4 per cell]  8 Se 3.71-3.93, 2 Pd 4.08
Sm: 0.0000 0.5000 0.0000 [4 per cell]  6 Se 2.91-2.94
Pd: 0.0000 0.0359 0.7500 [4 per cell]  4 Se 2.50-2.56
Se: 0.0000 0.1222 0.5564 [8 per cell]  1 Pd 2.56
Se: 0.0000 0.4522 0.7500 [4 per cell]  2 Pd 2.50

Calculated values
total moment = 2.75 μB/cell

The following VASP energy values (in eV/atom) correspond, in order, to the records above: -2.3672, -3.9260, -3.6578, -3.5841, -3.0398, -4.8907, -4.8929, -3.6755, -4.7001, -4.6848.